1.
## BaFe3F (PBE with a Hubbard U)

Data for BaFe3F after structural relaxation.

Results
Energy above the most stable polymorph in this dataset (meV per atom): 1258
Electronic total energy (eV per atom): -2.470
SG: No. 221

```
5
Lattice="-4.466 0.326 -3.872 -1.248 -5.707 0.959 -3.680 1.540 4.374" Properties=species:S:1:pos:R:3 pbc="T T T"
F -4.697 -1.921 0.731
Ba 0.000 0.000 0.000
Fe -0.624 -2.854 0.480
Fe -1.840 0.770 2.187
Fe -2.233 0.163 -1.936
```

---

2.
## CrRhF2 (PBE with a Hubbard U)

Data for CrRhF2 after structural relaxation.

Results
Energy above the most stable polymorph in this dataset (meV per atom): 1162
Electronic total energy (eV per atom): -4.254
SG: No. 225

```
4
Lattice="-1.663 -3.698 0.801 -3.979 -0.708 -0.865 -1.021 -2.524 -3.109" Properties=species:S:1:pos:R:3 pbc="T T T"
Cr 0.000 0.000 0.000
Rh -3.331 -3.465 -1.587
F -1.666 -1.733 -0.793
F -4.997 -5.198 -2.380
```